The following is a GGA-PBE calculation of crystalline BaSnHgAs at its relaxed geometry, from Alexandria via LeMat-Bulk.

extended XYZ file:
```
4
Lattice="5.502 0.000 0.000 2.751 4.765 0.000 2.751 1.588 4.493" Properties=species:S:1:pos:R:3 pbc="T T T"
As 5.502 3.177 2.246
Hg 0.000 0.000 0.000
Sn 2.751 1.588 1.123
Ba 8.254 4.765 3.369
```

Results
Calculated density = 7.5 Mg/m³
Total magnetic moment = 0.00 μB/f.u.
Calculated total energy = -3.095 eV/atom

=====

The following is a GGA-PBE calculation of crystalline BaSr2HgAs at its relaxed geometry, from Alexandria via LeMat-Bulk.

extended XYZ file:
```
5
Lattice="-0.821 4.250 -4.106 -5.676 0.587 1.743 1.772 4.465 4.267" Properties=species:S:1:pos:R:3 pbc="T T T"
Sr -2.838 0.293 0.871
Sr -0.411 2.125 -2.053
As 0.000 0.000 0.000
Hg -2.363 4.651 0.951
Ba 0.886 2.233 2.133
```

Results
Calculated density = 4.3 Mg/m³
Total magnetic moment = 0.00 μB/f.u.
Calculated total energy = -2.599 eV/atom
Distance to the lowest polymorph of the same formula = 0 meV/atom

=====

The following is a GGA-PBE calculation of crystalline BaSr2HgAs at its relaxed geometry, from Alexandria via LeMat-Bulk.

extended XYZ file:
```
5
Lattice="-2.418 -1.476 5.989 1.454 -5.584 -0.789 5.942 1.168 2.687" Properties=species:S:1:pos:R:3 pbc="T T T"
Sr 2.971 0.584 1.343
Sr -1.209 -0.738 2.995
As 2.489 -2.946 3.944
Hg 0.727 -2.792 -0.394
Ba 0.000 0.000 0.000
```

Results
Calculated density = 3.8 Mg/m³
Total magnetic moment = 0.01 μB/f.u.
Calculated total energy = -1.233 eV/atom
Distance to the lowest polymorph of the same formula = 1366 meV/atom

=====

The following is a GGA-PBE calculation of crystalline BaTlHg2As at its relaxed geometry, from Alexandria via LeMat-Bulk.

extended XYZ file:
```
5
Lattice="-3.126 -3.168 -0.923 3.386 -2.849 -1.688 0.788 0.171 7.936" Properties=species:S:1:pos:R:3 pbc="T T T"
Ba 0.765 -2.364 5.524
Tl 2.059 -2.555 1.797
Hg -1.207 -2.684 2.110
Hg 0.089 -0.274 0.641
As 0.781 -5.019 3.392
```

Results
Calculated density = 8.7 Mg/m³
Total magnetic moment = 0.00 μB/f.u.
Calculated total energy = -2.284 eV/atom

=====

The following is a GGA-PBE calculation of crystalline BaTlHgAs2 at its relaxed geometry, from Alexandria via LeMat-Bulk.

extended XYZ file:
```
5
Lattice="5.380 0.000 0.000 0.000 6.082 0.000 0.000 0.000 5.380" Properties=species:S:1:pos:R:3 pbc="T T T"
As 0.000 0.000 2.690
As 2.690 0.000 0.000
Tl 2.690 3.041 2.690
Hg 0.000 0.000 0.000
Ba 0.000 3.041 0.000
```

Results
Calculated density = 6.5 Mg/m³
Total magnetic moment = 0.00 μB/f.u.
Calculated total energy = -2.560 eV/atom

=====

The following is a GGA-PBE calculation of crystalline Ba2ZrHgAs at its relaxed geometry, from Alexandria via LeMat-Bulk.

extended XYZ file:
```
5
Lattice="-1.442 -0.582 -6.209 4.976 -0.679 -1.092 -0.696 -6.318 0.754" Properties=species:S:1:pos:R:3 pbc="T T T"
As 0.000 0.000 0.000
Hg 1.419 -3.789 -3.274
Zr 2.488 -0.339 -0.546
Ba -0.348 -3.159 0.377
Ba -0.721 -0.291 -3.104
```

Results
Calculated density = 5.1 Mg/m³
Total magnetic moment = 2.53 μB/f.u.
Calculated total energy = -3.678 eV/atom

=====

The following is a GGA-PBE calculation of crystalline BaHoAs2 at its relaxed geometry, from Alexandria via LeMat-Bulk.

extended XYZ file:
```
4
Lattice="-0.102 4.061 -1.247 -1.810 2.939 2.479 6.187 3.580 3.916" Properties=species:S:1:pos:R:3 pbc="T T T"
Ba 2.198 5.302 2.605
Ho 4.866 8.239 4.713
As 4.761 3.320 3.183
As 0.776 2.592 1.136
```

Results
Calculated density = 6.2 Mg/m³
Total magnetic moment = 0.00 μB/f.u.
Calculated total energy = -5.029 eV/atom
Distance to the lowest polymorph of the same formula = 49 meV/atom

=====

The following is a GGA-PBE calculation of crystalline BaHoAs2 at its relaxed geometry, from Alexandria via LeMat-Bulk.

extended XYZ file:
```
4
Lattice="4.367 0.000 0.000 2.184 3.782 0.000 2.184 1.261 7.355" Properties=species:S:1:pos:R:3 pbc="T T T"
As 2.184 1.261 1.501
As 6.551 3.782 5.854
Ho 0.000 0.000 0.000
Ba 4.367 2.521 3.678
```

Results
Calculated density = 6.2 Mg/m³
Total magnetic moment = 0.00 μB/f.u.
Calculated total energy = -5.077 eV/atom
Distance to the lowest polymorph of the same formula = 0 meV/atom

=====

Look up the calculated total energy of the eighth one. -5.077 eV/atom

=====

What did the fifth record say?
The following is a GGA-PBE calculation of crystalline BaTlHgAs2 at its relaxed geometry, from Alexandria via LeMat-Bulk.

extended XYZ file:
```
5
Lattice="5.380 0.000 0.000 0.000 6.082 0.000 0.000 0.000 5.380" Properties=species:S:1:pos:R:3 pbc="T T T"
As 0.000 0.000 2.690
As 2.690 0.000 0.000
Tl 2.690 3.041 2.690
Hg 0.000 0.000 0.000
Ba 0.000 3.041 0.000
```

Results
Calculated density = 6.5 Mg/m³
Total magnetic moment = 0.00 μB/f.u.
Calculated total energy = -2.560 eV/atom